Entry from Alexandria via LeMat-Bulk: a relaxed K2MoPO6 crystal (PBE with a Hubbard U).

Results
* energy: -6.4767 eV/atom

Cell: 6.751 12.064 7.404 Å, 90.00 90.00 90.00°
Space group Fmm2 (No. 42)
Asymmetric unit:
K1 0.250 0.250 0.000
Mo1 0.000 0.000 0.363
P1 0.000 0.000 0.758
O1 0.000 0.100 0.626
O2 0.000 0.132 0.248
O3 0.184 0.000 0.883